1.
VASP calculation (PBE-GGA) on a geometry-optimized FePtSe2 structure.

Computed properties:
The total energy is -5.452 eV/atom. As for the crystal system: trigonal. For the uncorrected formation energy, the calculation gives -32.5 kJ/mol of formula units. The space group is R3m (160). The calculation puts the spin magnetization at 2.59 μB/f.u.

Cell lengths 7.1309, 7.1309, 7.1309 Å; angles 30.37, 30.37, 30.37 degrees
Last column: nearest neighbours and their distance in Å.
Positions (direct):
Fe 0.0000 0.0000 0.0000  3 Se 2.42, 3 Pt 2.62
Pt 0.7394 0.7394 0.7394  3 Se 2.47, 3 Fe 2.62
Se 0.2791 0.2791 0.2791  3 Fe 2.42
Se 0.4650 0.4650 0.4650  3 Pt 2.47

2.
VASP calculation (PBE-GGA) on a geometry-optimized La8HRu3Cl3 structure.

Computed properties:
The total energy is -5.913 eV/atom. As for the crystal system: monoclinic. The space group is C2/m (12). The calculation puts the spin magnetization at 0.65 μB/f.u.

Cell lengths 8.2095, 8.2095, 8.8694 Å; angles 117.63, 117.63, 59.91 degrees
Last column: nearest neighbours and their distance in Å.
Positions (direct):
La 0.2312 0.7374 0.7059  2 Ru 2.81-2.82, 1 H 2.85
La 0.2379 0.2379 0.7137  3 Ru 2.86, 3 Cl 3.20
La 0.2622 0.2622 0.2938  2 Ru 2.81, 1 H 2.86
La 0.2626 0.7688 0.2941  2 Ru 2.81-2.82, 1 H 2.85
La 0.7374 0.2312 0.7059  2 Ru 2.81-2.82, 1 H 2.85
La 0.7378 0.7378 0.7062  2 Ru 2.81, 1 H 2.86
La 0.7621 0.7621 0.2863  3 Ru 2.86, 3 Cl 3.20
La 0.7688 0.2626 0.2941  2 Ru 2.81-2.82, 1 H 2.85
H 0.5000 0.5000 0.5000  6 La 2.85-2.86
Ru 0.0000 0.0000 0.5000  6 La 2.81-2.86
Ru 0.0000 0.5000 0.5000  6 La 2.81-2.86
Ru 0.5000 0.0000 0.5000  6 La 2.81-2.86
Cl 0.0000 0.5000 0.0000  6 La 3.20-3.25
Cl 0.5000 0.0000 0.0000  6 La 3.20-3.25
Cl 0.5000 0.5000 0.0000  6 La 3.20-3.25

3.
VASP calculation (PBE-GGA) on a geometry-optimized TeH2Pd2 structure.

Computed properties:
The total energy is -4.075 eV/atom. As for the crystal system: tetragonal. The space group is I4/mmm (139). The calculation puts the spin magnetization at 0.00 μB/f.u.

Cell lengths 6.1708, 6.1708, 6.1708 Å; angles 148.67, 148.67, 44.90 degrees
Last column: nearest neighbours and their distance in Å.
Positions (direct):
Te 0.0000 0.0000 0.0000  8 Pd 3.01, 8 H 3.30, 4 Te 3.33
H 0.2500 0.7500 0.5000  4 Pd 1.93
H 0.7500 0.2500 0.5000  4 Pd 1.93
Pd 0.3351 0.3351 0.0000  4 H 1.93
Pd 0.6649 0.6649 0.0000  4 H 1.93

Number 1: calculated density 8265 kg/m3. Number 2: calculated density 5785 kg/m3. Number 3: calculated density 8980 kg/m3.